(1)
The following is a DFT calculation (GGA-PBE) of a relaxed Pu2Ga3Hg crystal.

The structure in CIF format:
```
data_Pu2Ga3Hg
_space_group_name_H-M_alt 'F m m m'
_space_group_IT_number 69
_space_group_name_Hall '-F 2 2'
_cell_length_a 6.427
_cell_length_b 9.577
_cell_length_c 16.678
_cell_angle_alpha 90.00
_cell_angle_beta 90.00
_cell_angle_gamma 90.00
loop_
_atom_site_label
_atom_site_type_symbol
_atom_site_fract_x
_atom_site_fract_y
_atom_site_fract_z
_atom_site_occupancy
Pu1 Pu 0.245 0.000 0.000 1
Pu2 Pu 0.250 0.250 0.250 1
Ga1 Ga 0.000 0.000 0.338 1
Ga2 Ga 0.000 0.243 0.419 1
Hg1 Hg 0.000 0.000 0.167 1
```

Summary:
- ΔH_f (0 K) (eV per atom) = -0.29

(2)
The following is a DFT calculation (GGA-PBE) of a relaxed BaCuRh crystal.

The structure in CIF format:
```
data_BaCuRh
_space_group_name_H-M_alt 'P -1'
_space_group_IT_number 2
_space_group_name_Hall '-P 1'
_cell_length_a 4.077
_cell_length_b 4.627
_cell_length_c 10.272
_cell_angle_alpha 80.71
_cell_angle_beta 89.64
_cell_angle_gamma 63.89
loop_
_atom_site_label
_atom_site_type_symbol
_atom_site_fract_x
_atom_site_fract_y
_atom_site_fract_z
_atom_site_occupancy
Ba1 Ba 0.182 0.144 0.216 1
Cu1 Cu 0.474 0.549 0.608 1
Rh1 Rh 0.159 0.181 0.541 1
```

Summary:
- ΔH_f (0 K) (eV per atom) = 0.00
- E above lowest polymorph (meV/atom) = 53

(3)
The following is a DFT calculation (GGA-PBE) of a relaxed NdTh crystal.

The structure in CIF format:
```
data_NdTh
_space_group_name_H-M_alt 'R -3 m'
_space_group_IT_number 166
_space_group_name_Hall '-R 3 2"'
_cell_length_a 3.6235
_cell_length_b 3.6235
_cell_length_c 35.4796
_cell_angle_alpha 90.00
_cell_angle_beta 90.00
_cell_angle_gamma 120.00
loop_
_atom_site_label
_atom_site_type_symbol
_atom_site_fract_x
_atom_site_fract_y
_atom_site_fract_z
_atom_site_occupancy
Nd1 Nd 0.0000 0.0000 0.1218 1
Th1 Th 0.0000 0.0000 0.2935 1
```

Summary:
- ΔH_f (0 K) (eV per atom) = 0.02
- E above lowest polymorph (meV/atom) = 0

(4)
The following is a DFT calculation (GGA-PBE) of a relaxed Ac3YAg4 crystal.

The structure in CIF format:
```
data_Ac3YAg4
_space_group_name_H-M_alt 'P 4/m m m'
_space_group_IT_number 123
_space_group_name_Hall '-P 4 2'
_cell_length_a 3.873
_cell_length_b 3.873
_cell_length_c 15.601
_cell_angle_alpha 90.00
_cell_angle_beta 90.00
_cell_angle_gamma 90.00
loop_
_atom_site_label
_atom_site_type_symbol
_atom_site_fract_x
_atom_site_fract_y
_atom_site_fract_z
_atom_site_occupancy
Ac1 Ac 0.000 0.000 0.000 1
Ac2 Ac 0.000 0.000 0.259 1
Y1 Y 0.000 0.000 0.500 1
Ag1 Ag 0.500 0.500 0.130 1
Ag2 Ag 0.500 0.500 0.397 1
```

Summary:
- ΔH_f (0 K) (eV per atom) = -0.27

(5)
The following is a DFT calculation (GGA-PBE) of a relaxed Zr2CuHg crystal.

The structure in CIF format:
```
data_Zr2CuHg
_space_group_name_H-M_alt 'I 4/m m m'
_space_group_IT_number 139
_space_group_name_Hall '-I 4 2'
_cell_length_a 4.281
_cell_length_b 4.281
_cell_length_c 8.521
_cell_angle_alpha 90.00
_cell_angle_beta 90.00
_cell_angle_gamma 90.00
loop_
_atom_site_label
_atom_site_type_symbol
_atom_site_fract_x
_atom_site_fract_y
_atom_site_fract_z
_atom_site_occupancy
Zr1 Zr 0.000 0.500 0.250 1
Cu1 Cu 0.000 0.000 0.000 1
Hg1 Hg 0.000 0.000 0.500 1
```

Summary:
- ΔH_f (0 K) (eV per atom) = -0.09

(6)
The following is a DFT calculation (GGA-PBE) of a relaxed Na3HgBi crystal.

The structure in CIF format:
```
data_Na3HgBi
_space_group_name_H-M_alt 'P m -3 m'
_space_group_IT_number 221
_space_group_name_Hall '-P 4 2 3'
_cell_length_a 5.572
_cell_length_b 5.572
_cell_length_c 5.572
_cell_angle_alpha 90.00
_cell_angle_beta 90.00
_cell_angle_gamma 90.00
loop_
_atom_site_label
_atom_site_type_symbol
_atom_site_fract_x
_atom_site_fract_y
_atom_site_fract_z
_atom_site_occupancy
Na1 Na 0.000 0.000 0.500 1
Hg1 Hg 0.000 0.000 0.000 1
Bi1 Bi 0.500 0.500 0.500 1
```

Summary:
- ΔH_f (0 K) (eV per atom) = 0.02
- E above lowest polymorph (meV/atom) = 345

(7)
The following is a DFT calculation (GGA-PBE) of a relaxed TcP2Os crystal.

The structure in CIF format:
```
data_TcP2Os
_space_group_name_H-M_alt 'C 1 m 1'
_space_group_IT_number 8
_space_group_name_Hall 'C -2y'
_cell_length_a 8.261
_cell_length_b 2.997
_cell_length_c 4.456
_cell_angle_alpha 90.00
_cell_angle_beta 104.15
_cell_angle_gamma 90.00
loop_
_atom_site_label
_atom_site_type_symbol
_atom_site_fract_x
_atom_site_fract_y
_atom_site_fract_z
_atom_site_occupancy
Tc1 Tc 0.000 0.000 0.000 1
P1 P 0.236 0.500 0.111 1
P2 P 0.499 0.000 0.448 1
Os1 Os 0.237 0.000 0.577 1
```

Summary:
- ΔH_f (0 K) (eV per atom) = -0.23
- E above lowest polymorph (meV/atom) = 79

(8)
The following is a DFT calculation (GGA-PBE) of a relaxed RbP3Pb crystal.

The structure in CIF format:
```
data_RbP3Pb
_space_group_name_H-M_alt 'P m -3 m'
_space_group_IT_number 221
_space_group_name_Hall '-P 4 2 3'
_cell_length_a 5.355
_cell_length_b 5.355
_cell_length_c 5.355
_cell_angle_alpha 90.00
_cell_angle_beta 90.00
_cell_angle_gamma 90.00
loop_
_atom_site_label
_atom_site_type_symbol
_atom_site_fract_x
_atom_site_fract_y
_atom_site_fract_z
_atom_site_occupancy
Rb1 Rb 0.000 0.000 0.000 1
P1 P 0.000 0.000 0.500 1
Pb1 Pb 0.500 0.500 0.500 1
```

Summary:
- ΔH_f (0 K) (eV per atom) = 1.74
- E above lowest polymorph (meV/atom) = 887

(9)
The following is a DFT calculation (GGA-PBE) of a relaxed TaWSe2 crystal.

The structure in CIF format:
```
data_TaWSe2
_space_group_name_H-M_alt 'R 3 m'
_space_group_IT_number 160
_space_group_name_Hall 'R 3 -2"'
_cell_length_a 3.2530
_cell_length_b 3.2530
_cell_length_c 28.0918
_cell_angle_alpha 90.00
_cell_angle_beta 90.00
_cell_angle_gamma 120.00
loop_
_atom_site_label
_atom_site_type_symbol
_atom_site_fract_x
_atom_site_fract_y
_atom_site_fract_z
_atom_site_occupancy
Ta1 Ta 0.0000 0.0000 0.0000 1
W1 W 0.0000 0.0000 0.7444 1
Se1 Se 0.0000 0.0000 0.2705 1
Se2 Se 0.0000 0.0000 0.4718 1
```

Summary:
- ΔE_f (raw) (eV per atom) = -0.3279
- E above lowest polymorph (meV/atom) = 0

(10)
The following is a DFT calculation (GGA-PBE) of a relaxed LiDyCuRu crystal.

The structure in CIF format:
```
data_LiDyCuRu
_space_group_name_H-M_alt 'F -4 3 m'
_space_group_IT_number 216
_space_group_name_Hall 'F -4 2 3'
_cell_length_a 6.443
_cell_length_b 6.443
_cell_length_c 6.443
_cell_angle_alpha 90.00
_cell_angle_beta 90.00
_cell_angle_gamma 90.00
loop_
_atom_site_label
_atom_site_type_symbol
_atom_site_fract_x
_atom_site_fract_y
_atom_site_fract_z
_atom_site_occupancy
Li1 Li 0.000 0.000 0.000 1
Dy1 Dy 0.250 0.250 0.750 1
Cu1 Cu 0.250 0.250 0.250 1
Ru1 Ru 0.000 0.000 0.500 1
```

Summary:
- ΔH_f (0 K) (eV per atom) = 0.04

(11)
The following is a DFT calculation (GGA-PBE) of a relaxed AsRuRhN2 crystal.

The structure in CIF format:
```
data_AsRuRhN2
_space_group_name_H-M_alt 'P 4/m m m'
_space_group_IT_number 123
_space_group_name_Hall '-P 4 2'
_cell_length_a 3.688
_cell_length_b 3.688
_cell_length_c 5.617
_cell_angle_alpha 90.00
_cell_angle_beta 90.00
_cell_angle_gamma 90.00
loop_
_atom_site_label
_atom_site_type_symbol
_atom_site_fract_x
_atom_site_fract_y
_atom_site_fract_z
_atom_site_occupancy
As1 As 0.000 0.000 0.000 1
Ru1 Ru 0.500 0.500 0.500 1
Rh1 Rh 0.500 0.500 0.000 1
N1 N 0.000 0.500 0.500 1
```

Summary:
- ΔE_f (raw) (eV per atom) = 0.8342

(12)
The following is a DFT calculation (GGA-PBE) of a relaxed BaTiSi2Pb crystal.

The structure in CIF format:
```
data_BaTiSi2Pb
_space_group_name_H-M_alt 'P 4/m m m'
_space_group_IT_number 123
_space_group_name_Hall '-P 4 2'
_cell_length_a 5.356
_cell_length_b 5.356
_cell_length_c 6.230
_cell_angle_alpha 90.00
_cell_angle_beta 90.00
_cell_angle_gamma 90.00
loop_
_atom_site_label
_atom_site_type_symbol
_atom_site_fract_x
_atom_site_fract_y
_atom_site_fract_z
_atom_site_occupancy
Ba1 Ba 0.000 0.000 0.000 1
Ti1 Ti 0.500 0.500 0.000 1
Si1 Si 0.000 0.500 0.500 1
Pb1 Pb 0.000 0.000 0.500 1
```

Summary:
- ΔE_f (raw) (eV per atom) = 1.3030
- E above lowest polymorph (meV/atom) = 0

Number 1: total magnetic moment 1.905 μB per atom. Number 2: total magnetic moment 0.000 μB per atom. Number 3: total magnetic moment 0.000 μB per atom. Number 4: total magnetic moment 0.000 μB per atom. Number 5: total magnetic moment 0.000 μB per atom. Number 6: total magnetic moment 0.000 μB per atom. Number 7: total magnetic moment 0.000 μB per atom. Number 8: total magnetic moment 0.000 μB per atom. Number 9: total magnetic moment 0.000 μB per atom. Number 10: total magnetic moment 0.000 μB per atom. Number 11: total magnetic moment 0.000 μB per atom. Number 12: total magnetic moment 0.513 μB per atom.